[1]
19
Lattice="-1.1532 -8.5447 0.8224 8.4313 1.0563 1.6781 -3.8670 3.2326 7.0438" Properties=species:S:1:pos:R:3 comment="LaPm12Ge6, relaxed, DFT GGA-PBE" space_group=R-3m ef_mev_per_atom=-444 n_ef_per_ev_cell=25.61 magnetic_moment_mub_per_fu=0.223 volume_a3_per_fu=586.4 pbc="T T T"
La 0.0000 0.0000 0.0000
Pm -1.9125 -5.7522 4.4492
Pm 1.5958 -4.6444 5.5413
Pm 0.8745 -1.5143 7.1948
Pm -0.7321 -2.1632 3.7756
Pm 2.5366 -2.7416 2.3495
Pm 1.8153 0.3886 4.0030
Pm 0.6811 2.3178 7.1207
Pm 6.3480 -2.9494 2.7467
Pm 5.3236 1.4963 5.0952
Pm 2.7300 -6.5737 2.4237
Pm -2.9369 -1.3064 6.7977
Pm 4.1432 -2.0927 5.7687
Ge 0.3255 -4.9197 2.7413
Ge -0.9014 0.4049 5.5541
Ge 4.6587 -0.5790 3.1282
Ge 4.3125 -4.6607 3.9903
Ge 3.0856 0.6638 6.8030
Ge -1.2476 -3.6768 6.4162

***

[2]
8
Lattice="-1.0043 5.2206 -0.3955 -0.6162 -3.3133 -6.2426 -6.5931 -1.1720 1.2728" Properties=species:S:1:pos:R:3 comment="LaPm2Ge, relaxed, DFT GGA-PBE" space_group=Cmcm ef_mev_per_atom=-369 n_ef_per_ev_cell=7.44 magnetic_moment_mub_per_fu=0.000 volume_a3_per_fu=119.5 pbc="T T T"
La -5.0751 -0.9609 0.2041
La -3.1385 1.6962 -5.5695
Pm -7.2727 -1.6551 -3.3793
Pm -0.9408 2.3905 -1.9861
Pm -3.9894 1.8485 -1.3976
Pm -4.2241 -1.1132 -3.9678
Ge -6.1781 1.2717 -3.4536
Ge -2.0355 -0.5364 -1.9118

***

[3]
14
Lattice="9.0486 0.0000 0.0000 4.5243 7.8363 0.0000 4.5243 2.6121 6.0366" Properties=species:S:1:pos:R:3 comment="LaPm3Ge3, relaxed, DFT GGA-PBE" space_group=R-3 ef_mev_per_atom=-663 n_ef_per_ev_cell=5.29 magnetic_moment_mub_per_fu=0.000 volume_a3_per_fu=214.0 pbc="T T T"
La 4.5243 2.6121 0.0187
La 13.5728 7.8363 6.0180
Pm 10.2832 8.1577 4.3338
Pm 10.9717 2.6881 4.3338
Pm 5.8907 4.8267 4.3338
Pm 12.2064 5.6217 1.7028
Pm 7.1254 7.7602 1.7028
Pm 7.8139 2.2906 1.7028
Ge 6.1040 4.9794 1.3639
Ge 10.7328 2.7966 1.3639
Ge 10.3088 7.8966 1.3639
Ge 7.7883 2.5518 4.6728
Ge 7.3643 7.6518 4.6728
Ge 11.9931 5.4690 4.6728

***

[4]
7
Lattice="-3.7129 -2.1221 0.6917 3.7759 -0.4870 5.2080 -4.3014 7.5635 0.1149" Properties=species:S:1:pos:R:3 comment="La2Pm3Ge2, relaxed, DFT GGA-PBE" space_group=C2/m ef_mev_per_atom=-524 n_ef_per_ev_cell=7.86 magnetic_moment_mub_per_fu=0.002 volume_a3_per_fu=213.2 pbc="T T T"
La -1.3383 -0.7031 4.2250
La -2.9001 5.6575 1.7896
Pm -1.8565 -1.0610 0.3459
Pm -3.2724 1.9052 1.8454
Pm -0.9660 3.0492 4.1693
Ge -3.9662 3.8754 4.1657
Ge -0.2722 1.0791 1.8490

***

[5]
9
Lattice="4.6820 0.0000 0.0000 0.0000 8.1204 0.0000 0.0000 -4.0602 7.0325" Properties=species:S:1:pos:R:3 comment="LaPm6Ge2, relaxed, DFT GGA-PBE" space_group=P-62m ef_mev_per_atom=-311 n_ef_per_ev_cell=6.76 magnetic_moment_mub_per_fu=0.000 volume_a3_per_fu=267.4 pbc="T T T"
La 2.3410 0.0000 0.0000
Pm 0.0000 5.9157 0.0000
Pm 0.0000 1.1024 1.9094
Pm 0.0000 -2.9578 5.1231
Pm 2.3410 -1.7062 2.9553
Pm 2.3410 2.3540 4.0772
Pm 2.3410 3.4125 0.0000
Ge 0.0000 4.0602 2.3442
Ge 0.0000 0.0000 4.6883

***

[6]
4
Lattice="-0.4126 -4.0896 -2.7447 4.3599 -1.4147 1.4524 -1.9874 -2.2999 3.7256" Properties=species:S:1:pos:R:3 comment="La2PmGe, relaxed, DFT GGA-PBE" space_group=P4/mmm ef_mev_per_atom=-375 n_ef_per_ev_cell=4.89 magnetic_moment_mub_per_fu=0.000 volume_a3_per_fu=114.3 pbc="T T T"
Ge 0.9800 -3.9021 1.2166
La -0.9937 -1.1500 1.8628
La 2.1799 -0.7073 0.7262
Pm -0.2063 -2.0448 -1.3724

***

[7]
3
Lattice="4.3654 0.0000 0.0000 0.0000 4.8323 0.0000 0.0000 -2.4162 4.1849" Properties=species:S:1:pos:R:3 comment="LaPmGe, relaxed, DFT GGA-PBE" space_group=P3m1 ef_mev_per_atom=-434 n_ef_per_ev_cell=1.75 magnetic_moment_mub_per_fu=0.000 volume_a3_per_fu=88.3 pbc="T T T"
Ge 0.2476 0.0000 0.0000
La 3.0495 2.4162 1.3950
Pm 1.0683 0.0000 2.7899

***

[8]
13
Lattice="-5.5718 -1.4183 2.8470 0.6202 -0.5455 8.1710 -4.3502 6.6622 2.0343" Properties=species:S:1:pos:R:3 comment="LaPm8Ge4, relaxed, DFT GGA-PBE" space_group=I4/mmm ef_mev_per_atom=-401 n_ef_per_ev_cell=14.26 magnetic_moment_mub_per_fu=0.001 volume_a3_per_fu=366.7 pbc="T T T"
La 0.0000 0.0000 0.0000
Pm -2.7075 4.2802 4.0624
Pm -1.0224 1.8366 6.1429
Pm -4.3386 3.6265 7.7735
Pm -4.9631 1.0719 5.2788
Pm -3.2363 0.2979 8.2727
Pm -6.0654 4.4005 4.7797
Pm -2.3891 0.9139 3.0085
Pm -6.9125 3.7845 10.0439
Ge -2.1751 3.3311 1.0172
Ge -4.9610 2.6220 2.4407
Ge 0.3101 -0.2727 4.0855
Ge -2.4758 -0.9819 5.5090

***

[9]
7
Lattice="-1.8703 -1.7561 3.2095 -2.4602 -2.4836 -2.7926 8.6638 -4.5019 -0.0446" Properties=species:S:1:pos:R:3 comment="LaPm2Ge4, relaxed, DFT GGA-PBE" space_group=Immm ef_mev_per_atom=-795 n_ef_per_ev_cell=3.51 magnetic_moment_mub_per_fu=0.000 volume_a3_per_fu=170.6 pbc="T T T"
Ge -0.1359 -4.1876 0.2596
Ge 4.4692 -4.5540 0.1127
Ge -0.3509 -2.1376 -1.3741
Ge 4.6842 -6.6040 1.7464
Pm 1.9811 -6.3448 0.3130
Pm 2.3522 -2.3968 0.0593
La -0.9352 -0.8781 1.6047

***

[10]
20
Lattice="9.1918 -0.3851 -0.5781 -2.9258 8.7223 -0.5781 -2.9258 -3.8929 7.8267" Properties=species:S:1:pos:R:3 comment="LaPm12Ge7, relaxed, DFT GGA-PBE" space_group=R-3m ef_mev_per_atom=-515 n_ef_per_ev_cell=23.41 magnetic_moment_mub_per_fu=0.001 volume_a3_per_fu=576.0 pbc="T T T"
La 0.0000 0.0000 0.0000
Pm -2.9257 -0.5187 5.5788
Pm 3.0249 -1.8422 7.2484
Pm 2.4803 -0.5809 3.3331
Pm 4.5878 2.2237 3.3371
Pm -2.6107 5.7674 5.0005
Pm 0.8603 1.1442 5.9228
Pm 2.4799 3.3000 0.7477
Pm 5.9508 -1.3232 1.6700
Pm -1.2477 2.2205 3.3334
Pm 0.8598 5.0251 3.3374
Pm 0.3152 6.2864 -0.5779
Pm 6.2659 4.9629 1.0917
Ge 3.8532 0.9781 5.9641
Ge 3.4720 0.4705 0.7067
Ge -0.5135 -0.6828 3.4707
Ge 1.6701 2.2221 3.3353
Ge 3.8537 5.1270 3.1998
Ge -0.1319 3.9737 5.9639
Ge -0.5131 3.4661 0.7064

***

[11]
4
Lattice="-1.3744 -3.7778 -1.0045 1.5813 -1.9752 -3.2814 6.6917 -5.7966 4.0977" Properties=species:S:1:pos:R:3 comment="La2PmGe, relaxed, DFT GGA-PBE" space_group=R3m ef_mev_per_atom=-228 n_ef_per_ev_cell=6.71 magnetic_moment_mub_per_fu=0.001 volume_a3_per_fu=140.6 pbc="T T T"
La 5.4315 -5.0584 3.0461
La 1.3308 -2.6567 -0.3757
Pm 3.4369 -5.7675 -0.1045
Ge 0.1488 -3.8416 -2.8483

***

[12]
8
Lattice="-1.0294 -4.2948 3.3239 2.1225 -1.8434 -6.3205 6.6496 0.1097 2.2010" Properties=species:S:1:pos:R:3 comment="La2PmGe, relaxed, DFT GGA-PBE" space_group=Cmcm ef_mev_per_atom=-358 n_ef_per_ev_cell=9.42 magnetic_moment_mub_per_fu=0.000 volume_a3_per_fu=122.8 pbc="T T T"
La 7.6416 -2.7936 -1.2431
La 0.1011 -3.2349 0.4475
La 3.0730 -3.1859 1.4312
La 4.6697 -2.8426 -2.2268
Pm 5.1925 -0.4274 1.0558
Pm 2.5502 -5.6011 -1.8515
Ge 5.5430 -4.7222 0.2110
Ge 2.1997 -1.3063 -1.0067

***

Number 12 is which compound?
La2PmGe